Below is an optimized crystal structure of ScCu2Au, with properties calculated at the PBE level.

VASP energy (eV/cell): -19.205
N(E_F) (states/eV/f.u.): 2.05
Size of the total moment (μB/cell): 0.000
ΔH_f (0 K) (meV per atom): -351

Cell lengths 4.8600, 4.8600, 4.8600 Å; angles 131.43, 131.43, 71.13 degrees
Fractional coordinates of all 4 atoms:
Sc1 0.0000 0.0000 0.0000
Cu1 0.5000 0.5000 0.0000
Cu2 0.7500 0.2500 0.5000
Au1 0.2500 0.7500 0.5000